Material: Tl2HgAs2O6
Method: DFT, PBE-GGA
State: optimized geometry

abc: 12.004 5.842 6.704
angles: 90.00 113.57 90.00
Space group C2/m (No. 12)
Inequivalent atoms, fractional coordinates:
Tl 0.221 0.000 0.213
Hg 0.000 0.000 0.500
As 0.013 0.500 0.197
O 0.067 0.262 0.778
O 0.164 0.500 0.358

Summary:
E_form (uncorrected) ... -0.881 eV/atom

Material: BaSc3Sn
Method: DFT, PBE-GGA
State: optimized geometry

abc: 5.297 5.297 5.297
angles: 90.00 90.00 90.00
Space group Pm-3m (No. 221)
Inequivalent atoms, fractional coordinates:
Ba 0.000 0.000 0.000
Sc 0.000 0.000 0.500
Sn 0.500 0.500 0.500

Summary:
Calculated formation energy ... 1092 meV per atom

| no. | V (Å³/cell) | spin magnetization (μB/f.u.) |
| --- | --- | --- |
| 1 | 430.94 | 0.0 |
| 2 | 148.62 | 0.0 |